Here is a relaxed structure of BaBrO from Alexandria. Energies are from PBE-GGA.

Lattice parameters (Å, degrees): 7.732 4.462 5.128 90.00 90.49 90.00
Space group Cm (No. 8)
Asymmetric unit:
Ba  0.000  0.000  0.000
Br  0.167  0.500  0.502
O  0.167  0.500  0.002

Properties
The calculation puts the formation energy (no corrections) at -5.310 eV/f.u. The size of the total moment is 0.00 Bohr magnetons per cell.

=====

Here is a relaxed structure of Tl3Au2I6 from Alexandria. Energies are from PBE-GGA.

Lattice parameters (Å, degrees): 4.825 7.525 13.556 99.92 100.12 90.02
Space group P-1 (No. 2)
Asymmetric unit:
Tl  0.000  0.000  0.000
Tl  0.171  0.400  0.347
Au  0.389  0.200  0.779
I  0.070  0.643  0.139
I  0.293  0.275  0.582
I  0.409  0.845  0.816

Properties
The calculation puts the formation energy (no corrections) at -3.521 eV/f.u. The size of the total moment is 0.00 Bohr magnetons per cell.

=====

Here is a relaxed structure of CsNpTcO6 from Alexandria. Energies are from PBE-GGA.

Lattice parameters (Å, degrees): 7.328 7.846 10.715 90.00 90.00 90.00
Space group Imma (No. 74)
Asymmetric unit:
Cs  0.000  0.250  0.116
Np  0.000  0.000  0.500
Tc  0.250  0.250  0.750
O  0.000  0.250  0.425
O  0.000  0.250  0.792
O  0.201  0.072  0.624

Properties
The calculation puts the formation energy (no corrections) at -19.242 eV/f.u. The size of the total moment is 8.37 Bohr magnetons per cell.

=====

Here is a relaxed structure of Nd3NbSb5 from Alexandria. Energies are from PBE-GGA.

Lattice parameters (Å, degrees): 9.4889 9.4889 6.2299 90.00 90.00 120.00
Space group P6_3/mcm (No. 193)
Asymmetric unit:
Nd  0.0000  0.3800  0.2500
Nb  0.0000  0.0000  0.0000
Sb  0.0000  0.2601  0.7500
Sb  0.3333  0.6667  0.0000

Properties
The calculation puts the formation energy (no corrections) at -7.322 eV/f.u. The size of the total moment is 0.00 Bohr magnetons per cell.

=====

Here is a relaxed structure of CdBi from Alexandria. Energies are from PBE-GGA.

Lattice parameters (Å, degrees): 8.269 9.129 12.284 90.00 90.00 90.00
Space group Fddd (No. 70, origin choice 2)
Asymmetric unit:
Cd  0.066  0.375  0.375
Bi  0.125  0.328  0.625

Properties
The size of the total moment is 0.00 Bohr magnetons per cell. The formation energy is 0.21 eV per formula unit.

=====

Here is a relaxed structure of Pr2TlRu from Alexandria. Energies are from PBE-GGA.

Lattice parameters (Å, degrees): 7.483 7.483 7.483 90.00 90.00 90.00
Space group Fm-3m (No. 225)
Asymmetric unit:
Pr  0.250  0.250  0.250
Tl  0.000  0.000  0.000
Ru  0.000  0.000  0.500

Properties
The size of the total moment is 0.00 Bohr magnetons per cell. As for the distance to the lowest polymorph of the same formula: 0.1227 eV per atom. The formation energy is -0.46 eV per formula unit.

=====

Here is a relaxed structure of Lu2ScMo from Alexandria. Energies are from PBE-GGA.

Lattice parameters (Å, degrees): 3.1541 3.1541 32.8930 90.00 90.00 120.00
Space group R-3m (No. 166, hexagonal axes)
Asymmetric unit:
Lu  0.0000  0.0000  0.0838
Sc  0.0000  0.0000  0.5000
Mo  0.0000  0.0000  0.0000

Properties
The size of the total moment is 0.00 Bohr magnetons per cell. The formation energy is 2.46 eV per formula unit.

=====

Here is a relaxed structure of KReSb2 from Alexandria. Energies are from PBE-GGA.

Lattice parameters (Å, degrees): 8.982 3.468 8.146 90.00 105.87 90.00
Space group Cm (No. 8)
Asymmetric unit:
K  0.000  0.000  0.000
Re  0.176  0.500  0.423
Sb  0.207  0.000  0.670
Sb  0.368  0.000  0.335

Properties
The calculation puts the formation energy (no corrections) at 0.892 eV/f.u. The size of the total moment is 0.00 Bohr magnetons per cell. As for the distance to the lowest polymorph of the same formula: 0.1657 eV per atom.

=====

Among the records above, which one has the highest size of the total moment?
CsNpTcO6

=====

What did the seventh record say?
Here is a relaxed structure of Lu2ScMo from Alexandria. Energies are from PBE-GGA.

Lattice parameters (Å, degrees): 3.1541 3.1541 32.8930 90.00 90.00 120.00
Space group R-3m (No. 166, hexagonal axes)
Asymmetric unit:
Lu  0.0000  0.0000  0.0838
Sc  0.0000  0.0000  0.5000
Mo  0.0000  0.0000  0.0000

Properties
The size of the total moment is 0.00 Bohr magnetons per cell. The formation energy is 2.46 eV per formula unit.

=====

Look up the size of the total moment of the third one.
8.37 Bohr magnetons per cell

=====

The highest size of the total moment belongs to which entry?
CsNpTcO6